The following is a DFT calculation (PBE) of crystalline Hf2BeBiPd at its relaxed geometry.

a = 5.3740 Å, b = 5.3740 Å, c = 4.9490 Å
α = 90.00°, β = 90.00°, γ = 90.00°
With the nearest neighbours (Å) after each atom.
Sites, in units of the cell vectors:
Hf (0.0000, 0.5000, 0.0000)  2 Bi 2.69
Hf (0.5000, 0.0000, 0.0000)  2 Bi 2.69
Be (0.0000, 0.0000, 0.5000)  8 Hf 3.65, 4 Pd 3.80
Bi (0.5000, 0.5000, 0.0000)  2 Pd 2.47, 4 Hf 2.69
Pd (0.5000, 0.5000, 0.5000)  2 Bi 2.47

## Properties
- magnetic moment (Bohr magnetons per cell) = 0.0
- V (Å³/atom) = 28.6
- formation enthalpy at 0 K (eV/f.u.) = 7.50
- E (eV per formula unit) = -25.203